Here is crystalline SrAcSb at its relaxed geometry from the Alexandria database. Energies are from GGA-PBE. Values from VASP.

## Properties
formation energy from raw total energies = -0.604 eV/atom
DOS at the Fermi energy = 1.248 states/eV/atom
volume = 122 Å³/f.u.
excess energy over the best structure of this formula in the dataset = 0.051 eV per formula unit
electronic total energy = -3.91 eV/atom

Geometry as Quantum ESPRESSO input:
```
&SYSTEM
  ibrav = 0, nat = 3, ntyp = 3
/
ATOMIC_SPECIES
Sb 121.76 Sb.upf
Ac 227.00 Ac.upf
Sr 87.62 Sr.upf
CELL_PARAMETERS angstrom
-1.182 4.159 3.503
-4.821 2.741 -0.461
-3.953 -0.654 3.862
ATOMIC_POSITIONS crystal
Sb 0.250 0.250 0.250
Ac 0.000 0.000 0.000
Sr 0.500 0.500 0.500
```

Here is crystalline SrAcSb2 at its relaxed geometry from the Alexandria database. Energies are from GGA-PBE. Values from VASP.

## Properties
formation energy from raw total energies = -0.892 eV/atom
DOS at the Fermi energy = 1.131 states/eV/atom
volume = 159 Å³/f.u.
excess energy over the best structure of this formula in the dataset = 0.307 eV per formula unit
electronic total energy = -4.40 eV/atom

Geometry as Quantum ESPRESSO input:
```
&SYSTEM
  ibrav = 0, nat = 4, ntyp = 3
/
ATOMIC_SPECIES
Sr 87.62 Sr.upf
Ac 227.00 Ac.upf
Sb 121.76 Sb.upf
CELL_PARAMETERS angstrom
4.908 0.000 0.000
2.454 4.251 0.000
2.454 1.417 7.623
ATOMIC_POSITIONS crystal
Sr 0.670 0.670 0.991
Ac 0.497 0.497 0.510
Sb 0.086 0.086 0.742
Sb 0.247 0.247 0.258
```

Here is crystalline SrAcSb2 at its relaxed geometry from the Alexandria database. Energies are from GGA-PBE. Values from VASP.

## Properties
formation energy from raw total energies = -0.888 eV/atom
DOS at the Fermi energy = 0.920 states/eV/atom
volume = 136 Å³/f.u.
excess energy over the best structure of this formula in the dataset = 0.322 eV per formula unit
electronic total energy = -4.40 eV/atom

Geometry as Quantum ESPRESSO input:
```
&SYSTEM
  ibrav = 0, nat = 4, ntyp = 3
/
ATOMIC_SPECIES
Sb 121.76 Sb.upf
Ac 227.00 Ac.upf
Sr 87.62 Sr.upf
CELL_PARAMETERS angstrom
5.777 0.000 0.000
2.888 5.003 0.000
2.888 1.668 4.717
ATOMIC_POSITIONS crystal
Sb 0.250 0.250 0.250
Sb 0.750 0.750 0.750
Ac 0.000 0.000 0.000
Sr 0.500 0.500 0.500
```

Here is crystalline SrAcSb at its relaxed geometry from the Alexandria database. Energies are from GGA-PBE. Values from VASP.

## Properties
formation energy from raw total energies = -0.476 eV/atom
DOS at the Fermi energy = 0.676 states/eV/atom
volume = 118 Å³/f.u.
excess energy over the best structure of this formula in the dataset = 0.437 eV per formula unit
electronic total energy = -3.78 eV/atom

Geometry as Quantum ESPRESSO input:
```
&SYSTEM
  ibrav = 0, nat = 3, ntyp = 3
/
ATOMIC_SPECIES
Sb 121.76 Sb.upf
Ac 227.00 Ac.upf
Sr 87.62 Sr.upf
CELL_PARAMETERS angstrom
-2.312 -2.429 3.354
4.674 -1.577 2.081
-2.294 4.530 1.698
ATOMIC_POSITIONS crystal
Sb 0.954 0.000 0.000
Ac 0.287 0.333 0.667
Sr 0.758 0.667 0.333
```

Here is crystalline SrAcSb at its relaxed geometry from the Alexandria database. Energies are from GGA-PBE. Values from VASP.

## Properties
formation energy from raw total energies = -0.621 eV/atom
DOS at the Fermi energy = 0.733 states/eV/atom
volume = 125 Å³/f.u.
excess energy over the best structure of this formula in the dataset = 0.000 eV per formula unit
electronic total energy = -3.93 eV/atom

Geometry as Quantum ESPRESSO input:
```
&SYSTEM
  ibrav = 0, nat = 3, ntyp = 3
/
ATOMIC_SPECIES
Sb 121.76 Sb.upf
Ac 227.00 Ac.upf
Sr 87.62 Sr.upf
CELL_PARAMETERS angstrom
4.157 0.000 0.000
0.000 4.157 0.000
-2.078 -2.078 7.211
ATOMIC_POSITIONS crystal
Sb 0.673 0.673 0.347
Ac 0.292 0.292 0.585
Sr 0.034 0.034 0.069
```

Here is crystalline SrAc4Sb5 at its relaxed geometry from the Alexandria database. Energies are from GGA-PBE. Values from VASP.

## Properties
formation energy from raw total energies = -1.125 eV/atom
DOS at the Fermi energy = 0.648 states/eV/atom
volume = 391 Å³/f.u.
electronic total energy = -5.00 eV/atom

Geometry as Quantum ESPRESSO input:
```
&SYSTEM
  ibrav = 0, nat = 10, ntyp = 3
/
ATOMIC_SPECIES
Sr 87.62 Sr.upf
Ac 227.00 Ac.upf
Sb 121.76 Sb.upf
CELL_PARAMETERS angstrom
-0.866 -4.579 1.140
6.665 -1.194 0.265
-2.855 5.782 10.958
ATOMIC_POSITIONS crystal
Sr 0.000 0.000 0.000
Ac 0.402 0.402 0.803
Ac 0.801 0.801 0.601
Ac 0.199 0.199 0.399
Ac 0.598 0.598 0.197
Sb 0.602 0.102 0.204
Sb 0.801 0.301 0.601
Sb 0.199 0.699 0.399
Sb 0.000 0.500 0.000
Sb 0.398 0.898 0.796
```

Here is crystalline Sr2AcSb at its relaxed geometry from the Alexandria database. Energies are from GGA-PBE. Values from VASP.

## Properties
formation energy from raw total energies = -0.379 eV/atom
DOS at the Fermi energy = 1.266 states/eV/atom
volume = 152 Å³/f.u.
excess energy over the best structure of this formula in the dataset = 0.000 eV per formula unit
electronic total energy = -3.28 eV/atom

Geometry as Quantum ESPRESSO input:
```
&SYSTEM
  ibrav = 0, nat = 4, ntyp = 3
/
ATOMIC_SPECIES
Sb 121.76 Sb.upf
Ac 227.00 Ac.upf
Sr 87.62 Sr.upf
CELL_PARAMETERS angstrom
5.604 0.000 0.000
0.000 5.202 0.000
0.000 0.000 5.202
ATOMIC_POSITIONS crystal
Sb 0.500 0.000 0.000
Ac 0.500 0.500 0.500
Sr 0.000 0.000 0.500
Sr 0.000 0.500 0.000
```

Here is crystalline SrAcSb2 at its relaxed geometry from the Alexandria database. Energies are from GGA-PBE. Values from VASP.

## Properties
formation energy from raw total energies = -0.968 eV/atom
DOS at the Fermi energy = 1.236 states/eV/atom
volume = 156 Å³/f.u.
excess energy over the best structure of this formula in the dataset = 0.004 eV per formula unit
electronic total energy = -4.48 eV/atom

Geometry as Quantum ESPRESSO input:
```
&SYSTEM
  ibrav = 0, nat = 4, ntyp = 3
/
ATOMIC_SPECIES
Sb 121.76 Sb.upf
Ac 227.00 Ac.upf
Sr 87.62 Sr.upf
CELL_PARAMETERS angstrom
4.794 0.000 0.000
2.397 4.152 0.000
2.397 1.384 7.822
ATOMIC_POSITIONS crystal
Sb 0.751 0.751 0.746
Sb 0.249 0.249 0.254
Ac 0.500 0.500 0.500
Sr 0.000 0.000 0.000
```